# 1
VASP calculation (GGA-PBE) on a relaxed ZrTl2CuS4 crystal.

Lattice parameters (Å, degrees): 8.1105 8.1105 7.5811 117.22 117.22 94.33
With the nearest neighbours (Å) after each atom.
Element x y z (fractional)
1 Zr 0.0000 0.5000 0.0000  6 S 2.55-2.69
2 Zr 0.0000 0.5000 0.5000  6 S 2.55-2.69
3 Tl 0.5000 0.0000 0.0000  6 S 2.98-3.31
4 Tl 0.5000 0.0000 0.5000  6 S 2.98-3.31
5 Tl 0.0000 0.0000 0.5000  6 S 2.97-3.14
6 Tl 0.5000 0.5000 0.0000  6 S 2.97-3.14
7 Cu 0.5000 0.5000 0.5000  2 S 2.41
8 Cu 0.0000 0.0000 0.0000  2 S 2.41
9 S 0.2129 0.7095 0.9580  2 Zr 2.55-2.57
10 S 0.7905 0.2871 0.5420  2 Zr 2.55-2.57
11 S 0.2095 0.7129 0.4580  2 Zr 2.55-2.57
12 S 0.7871 0.2905 0.0420  2 Zr 2.55-2.57
13 S 0.7974 0.7452 0.9739  1 Cu 2.41, 1 Zr 2.69
14 S 0.7548 0.7026 0.5261  1 Cu 2.41, 1 Zr 2.69
15 S 0.2452 0.2974 0.4739  1 Cu 2.41, 1 Zr 2.69
16 S 0.2026 0.2548 0.0261  1 Cu 2.41, 1 Zr 2.69

M_tot: 0.0 μB per formula unit
Symmetry: C2/c (15)
DOS(E_F): 3.00 states/eV/f.u.
V: 22.99 Å³ per atom
Uncorrected formation energy: -0.6177 eV per atom



# 2
VASP calculation (GGA-PBE) on a relaxed ZrTl2Cu2S4 crystal.

Lattice parameters (Å, degrees): 3.8027 7.7624 7.2163 107.83 105.28 90.00
With the nearest neighbours (Å) after each atom.
Element x y z (fractional)
1 Zr 0.0000 0.0000 0.0000  6 S 2.62
2 Tl 0.1406 0.5759 0.2812  7 S 3.14-3.49
3 Tl 0.8594 0.4241 0.7188  7 S 3.14-3.49
4 Cu 0.6781 0.9845 0.3562  4 S 2.30-2.44
5 Cu 0.3219 0.0155 0.6438  4 S 2.30-2.44
6 S 0.1949 0.1722 0.3898  3 Cu 2.36-2.44, 1 Zr 2.62
7 S 0.8051 0.8278 0.6102  3 Cu 2.36-2.44, 1 Zr 2.62
8 S 0.5170 0.7796 0.0341  1 Cu 2.30
9 S 0.4830 0.2204 0.9659  1 Cu 2.30

M_tot: 0.0 μB per formula unit
Symmetry: C2/m (12)
DOS(E_F): 0.21 states/eV/f.u.
V: 21.65 Å³ per atom
Uncorrected formation energy: -0.7461 eV per atom



# 3
VASP calculation (GGA-PBE) on a relaxed ZrTlCu2S4 crystal.

Lattice parameters (Å, degrees): 6.2042 6.3405 6.3405 69.33 60.71 60.71
With the nearest neighbours (Å) after each atom.
Element x y z (fractional)
1 Zr 0.5000 0.5000 0.5000  4 S 2.44
2 Tl 0.0000 0.0000 0.0000  8 S 3.13-3.41
3 Cu 0.1561 0.3439 0.3439  2 S 2.20
4 Cu 0.8439 0.6561 0.6561  2 S 2.20
5 S 0.4428 0.1367 0.5241  1 Cu 2.20, 1 Zr 2.44
6 S 0.1035 0.8633 0.4759  1 Cu 2.20, 1 Zr 2.44
7 S 0.8965 0.5241 0.1367  1 Cu 2.20, 1 Zr 2.44
8 S 0.5572 0.4759 0.8633  1 Cu 2.20, 1 Zr 2.44

M_tot: 0.0 μB per formula unit
Symmetry: I222 (23)
DOS(E_F): 5.89 states/eV/f.u.
V: 23.45 Å³ per atom
Uncorrected formation energy: -0.5705 eV per atom



# 4
VASP calculation (GGA-PBE) on a relaxed Zr2Tl3CuS6 crystal.

Lattice parameters (Å, degrees): 6.6568 6.6568 7.8012 97.52 97.52 122.21
With the nearest neighbours (Å) after each atom.
Element x y z (fractional)
1 Zr 0.3342 0.6658 0.0000  6 S 2.57-2.61
2 Zr 0.6658 0.3342 0.0000  6 S 2.57-2.61
3 Tl 0.1585 0.8415 0.5000  6 S 3.12-3.24
4 Tl 0.8415 0.1585 0.5000  6 S 3.12-3.24
5 Tl 0.5000 0.5000 0.5000  6 S 3.24-3.34
6 Cu 0.0000 0.0000 0.0000  2 S 2.39
7 S 0.9375 0.5789 0.7999  2 Zr 2.57-2.61, 1 Cu 2.81
8 S 0.7411 0.7411 0.1701  1 Cu 2.39, 2 Zr 2.61
9 S 0.0625 0.4211 0.2001  2 Zr 2.57-2.61, 1 Cu 2.81
10 S 0.5789 0.9375 0.7999  2 Zr 2.57-2.61, 1 Cu 2.81
11 S 0.2589 0.2589 0.8299  1 Cu 2.39, 2 Zr 2.61
12 S 0.4211 0.0625 0.2001  2 Zr 2.57-2.61, 1 Cu 2.81

M_tot: 0.0 μB per formula unit
Symmetry: C2/m (12)
V: 23.47 Å³ per atom
Uncorrected formation energy: -0.8880 eV per atom



# 5
VASP calculation (GGA-PBE) on a relaxed TmCu3S3 crystal.

Lattice parameters (Å, degrees): 6.6685 6.6685 7.3908 63.18 63.18 60.00
With the nearest neighbours (Å) after each atom.
Element x y z (fractional)
1 Tm 0.3336 0.3336 0.9993  6 S 2.71-2.72
2 Tm 0.6664 0.6664 0.0007  6 S 2.71-2.72
3 Cu 0.4644 0.7831 0.6299  4 S 2.31-2.42
4 Cu 0.7831 0.1226 0.6299  4 S 2.31-2.42
5 Cu 0.1226 0.4644 0.6299  4 S 2.31-2.42
6 Cu 0.8774 0.5356 0.3701  4 S 2.31-2.42
7 Cu 0.2169 0.8774 0.3701  4 S 2.31-2.42
8 Cu 0.5356 0.2169 0.3701  4 S 2.31-2.42
9 S 0.2502 0.5844 0.2468  4 Cu 2.31-2.42
10 S 0.9186 0.2502 0.2468  4 Cu 2.31-2.42
11 S 0.5844 0.9186 0.2468  4 Cu 2.31-2.42
12 S 0.4156 0.0814 0.7532  4 Cu 2.31-2.42
13 S 0.0814 0.7498 0.7532  4 Cu 2.31-2.42
14 S 0.7498 0.4156 0.7532  4 Cu 2.31-2.42

M_tot: 0.0 μB per formula unit
Symmetry: R-3 (148)
V: 17.35 Å³ per atom
Uncorrected formation energy: -0.8517 eV per atom



# 6
VASP calculation (GGA-PBE) on a relaxed Tm2CuS4 crystal.

Lattice parameters (Å, degrees): 6.6065 5.5344 7.6285 90.00 106.69 90.00
With the nearest neighbours (Å) after each atom.
Element x y z (fractional)
1 Tm 0.7662 0.7500 0.0695  8 S 2.70-2.97
2 Tm 0.2338 0.2500 0.9305  8 S 2.70-2.97
3 Tm 0.2353 0.2500 0.4359  8 S 2.67-2.97
4 Tm 0.7647 0.7500 0.5641  8 S 2.67-2.97
5 Cu 0.2469 0.7500 0.1844  4 S 2.25-2.26
6 Cu 0.7531 0.2500 0.8156  4 S 2.25-2.26
7 S 0.5189 0.4874 0.2556  1 Cu 2.25
8 S 0.0633 0.7500 0.8866  1 Cu 2.25
9 S 0.9367 0.2500 0.1134  1 Cu 2.25
10 S 0.5189 0.0126 0.2556  1 Cu 2.25
11 S 0.9333 0.2500 0.6049  1 Cu 2.26
12 S 0.4811 0.9874 0.7444  1 Cu 2.25
13 S 0.4811 0.5126 0.7444  1 Cu 2.25
14 S 0.0667 0.7500 0.3951  1 Cu 2.26

M_tot: 0.0 μB per formula unit
Symmetry: P2_1/m (11)
DOS(E_F): 1.75 states/eV/f.u.
V: 19.08 Å³ per atom
Uncorrected formation energy: -1.4264 eV per atom



# 7
VASP calculation (GGA-PBE) on a relaxed Tm5CuS8 crystal.

Lattice parameters (Å, degrees): 7.8183 7.8183 7.8183 60.00 60.00 60.00
With the nearest neighbours (Å) after each atom.
Element x y z (fractional)
1 Tm 0.0000 0.0000 0.0000  4 S 2.56
2 Tm 0.6201 0.6201 0.1398  6 S 2.69-2.73
3 Tm 0.6201 0.6201 0.6201  6 S 2.69-2.73
4 Tm 0.1398 0.6201 0.6201  6 S 2.69-2.73
5 Tm 0.6201 0.1398 0.6201  6 S 2.69-2.73
6 Cu 0.2500 0.2500 0.2500  4 S 2.44
7 S 0.3772 0.8685 0.3772  1 Cu 2.44, 3 Tm 2.69
8 S 0.8685 0.3772 0.3772  1 Cu 2.44, 3 Tm 2.69
9 S 0.3772 0.3772 0.3772  1 Cu 2.44, 3 Tm 2.69
10 S 0.3772 0.3772 0.8685  1 Cu 2.44, 3 Tm 2.69
11 S 0.8661 0.8661 0.4018  4 Tm 2.56-2.73
12 S 0.4018 0.8661 0.8661  4 Tm 2.56-2.73
13 S 0.8661 0.8661 0.8661  4 Tm 2.56-2.73
14 S 0.8661 0.4018 0.8661  4 Tm 2.56-2.73

M_tot: 0.0 μB per formula unit
Symmetry: F-43m (216)
V: 24.14 Å³ per atom
Uncorrected formation energy: -1.8224 eV per atom



# 8
VASP calculation (GGA-PBE) on a relaxed Tm7CuS5 crystal.

Lattice parameters (Å, degrees): 3.8285 6.5775 23.0373 89.99 90.00 106.97
With the nearest neighbours (Å) after each atom.
Element x y z (fractional)
1 Tm 0.4641 0.9266 0.2500  2 S 2.72, 2 Cu 2.83
2 Tm 0.5365 0.0745 0.7500  2 S 2.72, 2 Cu 2.83
3 Tm 0.6381 0.2753 0.0369  6 S 2.66-2.72
4 Tm 0.3625 0.7259 0.9631  6 S 2.66-2.72
5 Tm 0.3624 0.7258 0.5369  6 S 2.66-2.72
6 Tm 0.6381 0.2753 0.4631  6 S 2.66-2.72
7 Tm 0.1890 0.3777 0.1774  3 S 2.69-2.73, 2 Cu 2.89
8 Tm 0.8116 0.6235 0.8226  3 S 2.69-2.73, 2 Cu 2.89
9 Tm 0.8114 0.6232 0.6774  3 S 2.69-2.73, 2 Cu 2.89
10 Tm 0.1891 0.3779 0.3225  3 S 2.69-2.73, 2 Cu 2.89
11 Tm 0.9105 0.8207 0.1109  5 S 2.69-2.79
12 Tm 0.0901 0.1806 0.8892  5 S 2.69-2.79
13 Tm 0.0900 0.1803 0.6108  5 S 2.69-2.79
14 Tm 0.9105 0.8207 0.3892  5 S 2.69-2.79
15 Cu 0.7986 0.5961 0.2500  6 Tm 2.83-2.89
16 Cu 0.2020 0.4051 0.7500  6 Tm 2.83-2.89
17 S 0.0003 0.0006 0.0000  6 Tm 2.71-2.79
18 S 0.7248 0.4505 0.9295  6 Tm 2.69-2.72
19 S 0.2758 0.5508 0.0705  6 Tm 2.69-2.72
20 S 0.5498 0.0989 0.3583  6 Tm 2.66-2.73
21 S 0.4507 0.9021 0.6417  6 Tm 2.66-2.73
22 S 0.0003 0.0005 0.5000  6 Tm 2.72-2.79
23 S 0.2758 0.5508 0.4295  6 Tm 2.69-2.72
24 S 0.7247 0.4503 0.5705  6 Tm 2.69-2.72
25 S 0.4509 0.9024 0.8583  6 Tm 2.66-2.73
26 S 0.5498 0.0989 0.1417  6 Tm 2.66-2.73

M_tot: 0.0 μB per formula unit
Symmetry: P2_1/m (11)
DOS(E_F): 7.21 states/eV/f.u.
V: 21.34 Å³ per atom
Uncorrected formation energy: -1.5455 eV per atom



Ordered total DFT energy (no corrections) results: -77.66; -44.70; -40.18; -63.71; -70.21; -79.07; -84.99; -152.25; unit eV/cell.